Density functional theory data (PBE-GGA) for crystalline PmDyIn3 at its relaxed geometry.

- E_form: 0.12 eV/atom

Lattice parameters (Å, degrees): 5.8562 5.8562 22.4660 90.00 90.00 90.00
With the nearest neighbours (Å) after each atom.
Space group I-4m2 (No. 119)
One atom of each set of equivalent atoms:
Pm  0.0000  0.0000  0.0000 x2  8 In 2.93-3.20
Pm  0.0000  0.5000  0.2500 x2  4 In 3.13
Dy  0.0000  0.0000  0.4205 x4  8 In 3.37-3.49, 1 Dy 3.57
In  0.0000  0.2480  0.1269 x8  2 In 2.90-2.95, 2 Pm 3.13-3.20
In  0.0000  0.5000  0.5049 x4  2 Pm 2.93

Density functional theory data (PBE-GGA) for crystalline AlCdS3 at its relaxed geometry.

- Formation energy (no corrections): -598 meV per atom

Lattice parameters (Å, degrees): 6.0348 3.9433 9.6334 90.00 93.76 90.00
With the nearest neighbours (Å) after each atom.
Space group P2_1/m (No. 11)
One atom of each set of equivalent atoms:
Al  0.0807  0.2500  0.1304 x2  4 S 2.28-2.38
Cd  0.3565  0.2500  0.6324 x2  5 S 2.60-2.79
S  0.0804  0.7500  0.6624 x2  1 Al 2.28
S  0.2213  0.7500  0.0413 x2  3 Al 2.33-2.38
S  0.3615  0.2500  0.3429 x2  1 Al 2.57, 3 Cd 2.60-2.79, 1 S 2.66

Density functional theory data (PBE-GGA) for crystalline W4Se8Br at its relaxed geometry.

- Formation energy (no corrections): -300 meV per atom

Lattice parameters (Å, degrees): 6.6151 6.6151 26.7882 90.00 90.00 120.00
With the nearest neighbours (Å) after each atom.
Space group R-3m (No. 166, hexagonal axes)
One atom of each set of equivalent atoms:
W  0.0000  0.0000  0.0000 x3  6 Se 2.56
W  0.0000  0.5000  0.0000 x9  6 Se 2.57
Se  0.0000  0.0000  0.2693 x6  3 W 2.57
Se  0.9996  0.4998  0.2693 x18  3 W 2.56-2.57
Br  0.0000  0.0000  0.5000 x3  6 Se 3.35

Density functional theory data (PBE-GGA) for crystalline Tl2RuBr6 at its relaxed geometry.

- Formation energy (no corrections): -518 meV per atom

Lattice parameters (Å, degrees): 12.6978 7.3413 6.5617 90.00 90.91 90.00
With the nearest neighbours (Å) after each atom.
Space group C2/m (No. 12)
One atom of each set of equivalent atoms:
Tl  0.1689  0.0000  0.1588 x4  9 Br 3.32-3.71
Ru  0.0000  0.5000  0.0000 x2  6 Br 2.50
Br  0.0792  0.2591  0.7802 x8  1 Ru 2.50
Br  0.1622  0.5000  0.2222 x4  1 Ru 2.50

Density functional theory data (PBE-GGA) for crystalline AcErCoPd at its relaxed geometry.

- E_form: -0.30 eV/atom

Lattice parameters (Å, degrees): 7.1487 7.1487 7.1487 90.00 90.00 90.00
With the nearest neighbours (Å) after each atom.
Space group F-43m (No. 216)
One atom of each set of equivalent atoms:
Ac  0.0000  0.0000  0.0000 x4  4 Co 3.10, 4 Pd 3.10
Er  0.0000  0.0000  0.5000 x4  4 Co 3.10, 4 Pd 3.10
Co  0.2500  0.2500  0.7500 x4  4 Ac 3.10, 4 Er 3.10
Pd  0.2500  0.2500  0.2500 x4  4 Ac 3.10, 4 Er 3.10

Density functional theory data (PBE-GGA) for crystalline Tb3TeP2Rh9 at its relaxed geometry.

- Formation energy (no corrections): -666 meV per atom

Lattice parameters (Å, degrees): 6.0651 6.0651 9.2271 90.00 90.00 120.00
With the nearest neighbours (Å) after each atom.
Space group P-3m1 (No. 164)
One atom of each set of equivalent atoms:
Tb  0.0000  0.0000  0.0000 x1  12 Rh 2.99-3.03
Tb  0.3333  0.6667  0.7280 x2  9 Rh 3.04-3.06
Te  0.0000  0.0000  0.5000 x1  6 Rh 2.63
P  0.3333  0.6667  0.1600 x2  6 Rh 2.18-2.29
Rh  0.0000  0.5000  0.0000 x3  2 P 2.29
Rh  0.1516  0.3032  0.2737 x6  1 P 2.18

Number 1: total DFT energy (no corrections) -0.125 Ha/atom, size of the total moment 0.0 Bohr magnetons per cell. Number 2: total DFT energy (no corrections) -0.147 Ha/atom, size of the total moment 0.0 Bohr magnetons per cell. Number 3: total DFT energy (no corrections) -0.241 Ha/atom, size of the total moment 0.0 Bohr magnetons per cell. Number 4: total DFT energy (no corrections) -0.117 Ha/atom, size of the total moment 4.0 Bohr magnetons per cell. Number 5: total DFT energy (no corrections) -0.204 Ha/atom, size of the total moment 1.8 Bohr magnetons per cell. Number 6: total DFT energy (no corrections) -0.255 Ha/atom, size of the total moment 0.0 Bohr magnetons per cell.